# Rb3LaSm2S6 GGA-PBE relaxed
# Crystal system: monoclinic
# Symmetry: C2/m
# Size of the total moment, μB/f.u.: 0.000
# Formation energy from raw total energies, eV per atom: -1.856
data_Rb3LaSm2S6
_symmetry_space_group_name_H-M 'P 1'
_symmetry_Int_Tables_number 1
_cell_length_a 7.3123
_cell_length_b 7.3123
_cell_length_c 8.0820
_cell_angle_alpha 98.67
_cell_angle_beta 98.67
_cell_angle_gamma 120.00
loop_
_symmetry_equiv_pos_as_xyz
'x,y,z'
loop_
_atom_site_label
_atom_site_fract_x
_atom_site_fract_y
_atom_site_fract_z
Rb1 0.5000 0.5000 0.5000
S1 0.9347 0.5947 0.8040
Rb2 0.1663 0.8337 0.5000
Sm1 0.6667 0.3333 0.0000
S2 0.4053 0.0653 0.1960
La1 0.0000 0.0000 0.0000
S3 0.2747 0.2747 0.8040
S4 0.5947 0.9347 0.8040
Rb3 0.8337 0.1663 0.5000
Sm2 0.3333 0.6667 0.0000
S5 0.0653 0.4053 0.1960
S6 0.7253 0.7253 0.1960